Density functional theory data (GGA-PBE) for a relaxed structure of TiVPd2.

Cell lengths 4.4563, 4.4563, 4.4563 Å; angles 60.00, 60.00, 60.00 degrees
Last column: magnetic moment on the atom in μB.
Atoms (fractional coordinates):
V 0.5000 0.5000 0.5000  2.00
Pd 0.2500 0.2500 0.2500  0.15
Pd 0.7500 0.7500 0.7500  0.15
Ti 0.0000 0.0000 0.0000  0.30

Values from the calculation:
Crystal system   cubic
Energy above the lowest structure with this stoichiometry   114 meV per atom
M_tot   2.9 μB per formula unit
N(E_F)   6.91 states/eV/f.u.
Calculated formation energy   -0.237 eV/atom
Energy   -7.09 eV/atom

---

Density functional theory data (GGA-PBE) for a relaxed structure of Ti2V2Pd.

Cell lengths 3.7325, 3.7325, 6.4123 Å; angles 73.08, 73.08, 90.00 degrees
Atoms (fractional coordinates):
V 0.4174 0.4174 0.1652
V 0.5826 0.5826 0.8348
Pd 0.0000 0.0000 0.0000
Ti 0.7500 0.2500 0.5000
Ti 0.2500 0.7500 0.5000

Values from the calculation:
Crystal system   tetragonal
Energy above the lowest structure with this stoichiometry   442 meV per atom
M_tot   0.0 μB per formula unit
N(E_F)   7.23 states/eV/f.u.
Calculated formation energy   0.485 eV/atom
Energy   -7.36 eV/atom

---

Density functional theory data (GGA-PBE) for a relaxed structure of TiV2Pd9.

Cell lengths 3.9101, 3.9101, 11.7522 Å; angles 90.00, 90.00, 90.00 degrees
Last column: magnetic moment on the atom in μB.
Atoms (fractional coordinates):
Ti 0.0000 0.0000 0.0000  -0.01
V 0.0000 0.0000 0.3355  1.51
V 0.0000 0.0000 0.6645  1.51
Pd 0.5000 0.5000 0.0000  -0.03
Pd 0.5000 0.5000 0.3335  -0.07
Pd 0.5000 0.5000 0.6665  -0.07
Pd 0.5000 0.0000 0.1668  -0.03
Pd 0.5000 0.0000 0.5000  -0.08
Pd 0.5000 0.0000 0.8332  -0.03
Pd 0.0000 0.5000 0.1668  -0.03
Pd 0.0000 0.5000 0.5000  -0.08
Pd 0.0000 0.5000 0.8332  -0.03

Values from the calculation:
Crystal system   tetragonal
M_tot   2.8 μB per formula unit
N(E_F)   12.87 states/eV/f.u.
Calculated formation energy   -0.363 eV/atom
Energy   -6.43 eV/atom

---

Density functional theory data (GGA-PBE) for a relaxed structure of Ti2VPd.

Cell lengths 4.4296, 4.4296, 4.4296 Å; angles 60.00, 60.00, 60.00 degrees
Last column: magnetic moment on the atom in μB.
Atoms (fractional coordinates):
Ti 0.2500 0.2500 0.2500  -0.10
Ti 0.7500 0.7500 0.7500  -0.10
Pd 0.0000 0.0000 0.0000  0.00
V 0.5000 0.5000 0.5000  1.09

Values from the calculation:
Crystal system   cubic
Energy above the lowest structure with this stoichiometry   120 meV per atom
M_tot   1.0 μB per formula unit
N(E_F)   4.71 states/eV/f.u.
Calculated formation energy   -0.219 eV/atom
Energy   -7.74 eV/atom

---

Density functional theory data (GGA-PBE) for a relaxed structure of TiVPd2.

Cell lengths 2.7557, 2.7557, 7.8417 Å; angles 90.00, 90.00, 90.00 degrees
Last column: magnetic moment on the atom in μB.
Atoms (fractional coordinates):
Ti 0.5000 0.5000 0.0000  0.30
Pd 0.0000 0.0000 0.7436  0.01
Pd 0.0000 0.0000 0.2564  0.01
V 0.5000 0.5000 0.5000  0.02

Values from the calculation:
Crystal system   tetragonal
Energy above the lowest structure with this stoichiometry   10 meV per atom
M_tot   0.4 μB per formula unit
N(E_F)   5.04 states/eV/f.u.
Calculated formation energy   -0.341 eV/atom
Energy   -7.19 eV/atom

---

Density functional theory data (GGA-PBE) for a relaxed structure of Ti2VPd.

Cell lengths 3.1060, 3.1060, 6.3599 Å; angles 90.00, 90.00, 90.00 degrees
Atoms (fractional coordinates):
Ti 0.0000 0.0000 0.7621
Ti 0.0000 0.0000 0.2379
Pd 0.5000 0.5000 0.5000
V 0.5000 0.5000 0.0000

Values from the calculation:
Crystal system   tetragonal
Energy above the lowest structure with this stoichiometry   0 meV per atom
M_tot   0.0 μB per formula unit
N(E_F)   3.67 states/eV/f.u.
Calculated formation energy   -0.339 eV/atom
Energy   -7.86 eV/atom

---

Density functional theory data (GGA-PBE) for a relaxed structure of TiVPd2.

Cell lengths 3.8817, 3.9341, 3.9341 Å; angles 90.00, 90.00, 90.00 degrees
Last column: magnetic moment on the atom in μB.
Atoms (fractional coordinates):
Ti 0.5000 0.0000 0.0000  0.16
Pd 0.0000 0.0000 0.5000  0.06
Pd 0.0000 0.5000 0.0000  0.06
V 0.5000 0.5000 0.5000  1.24

Values from the calculation:
Crystal system   tetragonal
Energy above the lowest structure with this stoichiometry   0 meV per atom
M_tot   1.7 μB per formula unit
N(E_F)   4.10 states/eV/f.u.
Calculated formation energy   -0.351 eV/atom
Energy   -7.20 eV/atom

---

Density functional theory data (GGA-PBE) for a relaxed structure of TiVZnPd.

Cell lengths 4.3908, 4.3908, 4.3908 Å; angles 60.00, 60.00, 60.00 degrees
Last column: magnetic moment on the atom in μB.
Atoms (fractional coordinates):
Zn 0.5000 0.5000 0.5000  0.00
Ti 0.0000 0.0000 0.0000  0.41
Pd 0.7500 0.7500 0.7500  0.05
V 0.2500 0.2500 0.2500  2.19

Values from the calculation:
Crystal system   cubic
M_tot   3.0 μB per formula unit
N(E_F)   0.43 states/eV/f.u.
Calculated formation energy   -0.260 eV/atom
Energy   -6.13 eV/atom